VASP calculation (PBE-GGA) on a relaxed structure of CuNiRh.

Results
Total magnetization   0.49 μB/atom
Formation energy   73 meV/atom
Calculated volume   75.3 Å³/cell

Lattice parameters (Å, degrees): 2.6577 3.6081 7.8567 90.00 90.00 90.00
With the nearest neighbours (Å) after each atom.
Space group Imm2 (No. 44)
Unique sites:
Cu  0.0000  0.0000  0.0000  5 Ni 2.58-2.65, 5 Rh 2.58-2.62, 2 Cu 2.66
Ni  0.0000  0.0000  0.6626  5 Cu 2.58-2.65, 5 Rh 2.59-2.63, 2 Ni 2.66
Rh  0.0000  0.0000  0.3283  5 Cu 2.58-2.62, 5 Ni 2.59-2.63, 2 Rh 2.66